[1]
Compound: Th2MnZn2Ni5
Source: the Alexandria database
Functional: GGA-PBE
Structure: optimized geometry

Output
- DFT formation energy: -3.40 kcal/mol of atoms
- E_tot: -0.418 Ry per atom
- Crystal system: tetragonal
- Space group: No. 127
- D(E_F): 0.736 states/eV per atom

Cell lengths 9.610, 9.610, 3.494 Å; angles 90.00, 90.00, 90.00 degrees
Atoms (fractional coordinates):
Th  0.179  0.321  0.000
Th  0.321  0.821  0.000
Th  0.679  0.179  0.000
Th  0.821  0.679  0.000
Mn  0.000  0.000  0.000
Mn  0.500  0.500  0.000
Zn  0.119  0.619  0.000
Zn  0.381  0.119  0.000
Zn  0.619  0.881  0.000
Zn  0.881  0.381  0.000
Ni  0.000  0.500  0.500
Ni  0.051  0.802  0.500
Ni  0.198  0.051  0.500
Ni  0.302  0.551  0.500
Ni  0.449  0.302  0.500
Ni  0.500  0.000  0.500
Ni  0.551  0.698  0.500
Ni  0.698  0.449  0.500
Ni  0.802  0.949  0.500
Ni  0.949  0.198  0.500


[2]
Compound: Ti7MnNi2
Source: the Alexandria database
Functional: GGA-PBE
Structure: optimized geometry

Output
- DFT formation energy: 18.09 kcal/mol of atoms
- E_tot: -0.501 Ry per atom
- Crystal system: cubic
- Space group: No. 225
- D(E_F): 1.929 states/eV per atom

Cell lengths 6.310, 6.310, 6.310 Å; angles 60.00, 60.00, 60.00 degrees
Atoms (fractional coordinates):
Ti  0.000  0.000  0.000
Ti  0.255  0.255  0.745
Ti  0.255  0.745  0.255
Ti  0.255  0.745  0.745
Ti  0.745  0.255  0.255
Ti  0.745  0.255  0.745
Ti  0.745  0.745  0.255
Mn  0.500  0.500  0.500
Ni  0.250  0.250  0.250
Ni  0.750  0.750  0.750


[3]
Compound: TiMn2Ni2
Source: the Alexandria database
Functional: GGA-PBE
Structure: optimized geometry

Output
- DFT formation energy: -0.88 kcal/mol of atoms
- E_tot: -0.558 Ry per atom
- Crystal system: tetragonal
- ΔE to the lowest computed polymorph: 0 meV/atom
- Space group: No. 127
- D(E_F): 0.478 states/eV per atom

Cell lengths 6.867, 6.867, 2.787 Å; angles 90.00, 90.00, 90.00 degrees
Atoms (fractional coordinates):
Ti  0.000  0.000  0.000
Ti  0.500  0.500  0.000
Mn  0.162  0.338  0.500
Mn  0.338  0.838  0.500
Mn  0.662  0.162  0.500
Mn  0.838  0.662  0.500
Ni  0.133  0.633  0.000
Ni  0.367  0.133  0.000
Ni  0.633  0.867  0.000
Ni  0.867  0.367  0.000


Look up the D(E_F) of the first one.
0.736 states/eV per atom